{"formula": "Cd2SbRh", "functional": "PBE", "state": "optimized geometry", "spacegroup": "P4mm", "e_tot_ev_per_atom": -3.47, "e_form_raw_ev_per_fu": -0.557, "total_magnetization_mub_per_cell": 0.00, "dos_ef_per_ev_cell": 2.91, "cell": [[3.188, 0.000, 0.000], [0.000, 3.188, 0.000], [0.000, 0.000, 8.531]], "species": ["Cd", "Cd", "Sb", "Rh"], "fractional_positions": [[0.000, 0.000, 0.000], [0.500, 0.500, 0.268], [0.000, 0.000, 0.604], [0.500, 0.500, 0.782]]}